<1>
Below is crystalline Zr2AuBr at its relaxed geometry, with properties calculated at the PBE-GGA level.

a = 3.277 Å, b = 3.277 Å, c = 9.148 Å
α = 90.00°, β = 90.00°, γ = 90.00°
Atoms (fractional coordinates):
Zr (0.000, 0.000, 0.004)
Br (0.500, 0.500, 0.806)
Zr (0.500, 0.500, 0.249)
Au (0.000, 0.000, 0.441)

Properties
magnetic moment	0.000	Bohr magnetons per cell
D(E_F)	0.46	states/eV per atom

---

<2>
Below is crystalline Zr2AuBr at its relaxed geometry, with properties calculated at the PBE-GGA level.

a = 6.117 Å, b = 6.117 Å, c = 6.117 Å
α = 149.15°, β = 132.96°, γ = 57.31°
Atoms (fractional coordinates):
Zr (0.765, 0.265, 0.500)
Br (0.227, 0.727, 0.500)
Au (0.495, 0.495, 0.000)
Zr (0.014, 0.014, 0.000)

Properties
magnetic moment	0.000	Bohr magnetons per cell
D(E_F)	0.78	states/eV per atom

---

<3>
Below is crystalline Zr2AuBr at its relaxed geometry, with properties calculated at the PBE-GGA level.

a = 4.604 Å, b = 4.604 Å, c = 9.787 Å
α = 76.40°, β = 76.40°, γ = 90.00°
Atoms (fractional coordinates):
Br (0.250, 0.750, 0.500)
Au (0.000, 0.000, 0.000)
Zr (0.875, 0.868, 0.750)
Br (0.500, 0.500, 0.000)
Zr (0.132, 0.625, 0.250)
Zr (0.618, 0.125, 0.250)
Zr (0.375, 0.382, 0.750)
Au (0.750, 0.250, 0.500)

Properties
magnetic moment	0.000	Bohr magnetons per cell
D(E_F)	0.23	states/eV per atom

---

<4>
Below is crystalline Zr2AuBr at its relaxed geometry, with properties calculated at the PBE-GGA level.

a = 5.430 Å, b = 5.430 Å, c = 5.001 Å
α = 82.15°, β = 82.15°, γ = 34.81°
Atoms (fractional coordinates):
Au (0.497, 0.497, 0.582)
Zr (0.987, 0.987, 0.094)
Br (0.258, 0.258, 0.158)
Zr (0.758, 0.758, 0.665)

Properties
magnetic moment	0.000	Bohr magnetons per cell
D(E_F)	0.90	states/eV per atom

---

Stability summary - winner: <1>; margin: 123 meV/atom.

---

<1>
Below is crystalline Zr2AuBr at its relaxed geometry, with properties calculated at the PBE-GGA level.

a = 3.250 Å, b = 3.250 Å, c = 7.644 Å
α = 90.00°, β = 90.00°, γ = 90.01°
Atoms (fractional coordinates):
Zr (0.000, 0.000, 0.003)
Zr (0.000, 0.000, 0.497)
Au (0.500, 0.500, 0.250)
Br (0.500, 0.500, 0.750)

Properties
magnetic moment	0.002	Bohr magnetons per cell
D(E_F)	1.12	states/eV per atom

---

<2>
Below is crystalline Zr2AuBr at its relaxed geometry, with properties calculated at the PBE-GGA level.

a = 3.317 Å, b = 3.295 Å, c = 8.196 Å
α = 89.99°, β = 90.00°, γ = 90.00°
Atoms (fractional coordinates):
Br (0.500, 0.750, 0.750)
Zr (0.000, 0.750, 0.468)
Zr (0.000, 0.750, 0.032)
Au (0.500, 0.250, 0.250)

Properties
magnetic moment	0.000	Bohr magnetons per cell
D(E_F)	0.95	states/eV per atom

---

Stability summary - winner: <2>; margin: 20 meV/atom.